A:
This record from Alexandria describes an optimized crystal structure of Ta2HgSb. The functional is PBE.

Lattice parameters (Å, degrees): 3.537 4.638 4.880 90.00 90.00 90.00
Sites, in units of the cell vectors:
1 Ta 0.000 0.000 0.000
2 Ta 0.500 0.000 0.500
3 Hg 0.000 0.500 0.500
4 Sb 0.500 0.500 0.000

Summary:
V (Å³/atom): 20.01



B:
This record from Alexandria describes an optimized crystal structure of Ta2HgSb. The functional is PBE.

Lattice parameters (Å, degrees): 4.321 4.321 4.248 90.00 90.00 90.00
Sites, in units of the cell vectors:
1 Ta 0.000 0.500 0.000
2 Ta 0.500 0.000 0.000
3 Hg 0.000 0.000 0.500
4 Sb 0.500 0.500 0.500

Summary:
V (Å³/atom): 19.82



Stability check: which of them is least stable? B.



A:
This record from Alexandria describes an optimized crystal structure of Ta2HgSb. The functional is PBE.

Lattice parameters (Å, degrees): 3.685 4.772 10.108 90.00 90.00 90.00
Sites, in units of the cell vectors:
1 Ta 0.000 0.000 0.000
2 Ta 0.000 0.500 0.210
3 Ta 0.500 0.000 0.210
4 Ta 0.500 0.500 0.000
5 Hg 0.000 0.500 0.774
6 Hg 0.500 0.000 0.774
7 Sb 0.000 0.000 0.431
8 Sb 0.500 0.500 0.431

Summary:
V (Å³/atom): 22.21



B:
This record from Alexandria describes an optimized crystal structure of Ta2HgSb. The functional is PBE.

Lattice parameters (Å, degrees): 3.089 4.699 5.818 90.00 104.99 90.00
Sites, in units of the cell vectors:
1 Ta 0.000 0.000 0.000
2 Ta 0.365 0.500 0.263
3 Hg 0.891 0.000 0.473
4 Sb 0.467 0.500 0.789

Summary:
V (Å³/atom): 20.40



Stability check: which of them is least stable? B.



A:
This record from Alexandria describes an optimized crystal structure of TaHgSb3. The functional is PBE.

Lattice parameters (Å, degrees): 5.404 5.404 5.404 90.00 90.00 90.00
Sites, in units of the cell vectors:
1 Ta 0.000 0.000 0.000
2 Hg 0.500 0.500 0.500
3 Sb 0.000 0.500 0.500
4 Sb 0.500 0.000 0.500
5 Sb 0.500 0.500 0.000

Summary:
V (Å³/atom): 31.56



B:
This record from Alexandria describes an optimized crystal structure of TaHgSb3. The functional is PBE.

Lattice parameters (Å, degrees): 5.381 5.381 5.381 90.00 90.00 90.00
Sites, in units of the cell vectors:
1 Ta 0.000 0.000 0.000
2 Hg 0.500 0.500 0.500
3 Sb 0.000 0.000 0.500
4 Sb 0.000 0.500 0.000
5 Sb 0.500 0.000 0.000

Summary:
V (Å³/atom): 31.16



Stability check: which of them is least stable? A.



A:
This record from Alexandria describes an optimized crystal structure of TaHgSb2Te. The functional is PBE.

Lattice parameters (Å, degrees): 5.423 5.423 5.387 90.00 90.00 90.00
Sites, in units of the cell vectors:
1 Ta 0.000 0.000 0.000
2 Hg 0.500 0.500 0.500
3 Sb 0.000 0.500 0.000
4 Sb 0.500 0.000 0.000
5 Te 0.000 0.000 0.500

Summary:
V (Å³/atom): 31.68



B:
This record from Alexandria describes an optimized crystal structure of TaHgSb2Te. The functional is PBE.

Lattice parameters (Å, degrees): 5.369 5.369 5.438 90.00 90.00 90.00
Sites, in units of the cell vectors:
1 Ta 0.000 0.000 0.000
2 Hg 0.500 0.500 0.500
3 Sb 0.000 0.500 0.500
4 Sb 0.500 0.000 0.500
5 Te 0.500 0.500 0.000

Summary:
V (Å³/atom): 31.35



Stability check: which of them is least stable? B.



A:
This record from Alexandria describes an optimized crystal structure of TaHgSbTe2. The functional is PBE.

Lattice parameters (Å, degrees): 5.402 5.402 5.504 90.00 90.00 90.00
Sites, in units of the cell vectors:
1 Ta 0.000 0.000 0.000
2 Hg 0.500 0.500 0.500
3 Sb 0.000 0.000 0.500
4 Te 0.000 0.500 0.000
5 Te 0.500 0.000 0.000

Summary:
V (Å³/atom): 32.13



B:
This record from Alexandria describes an optimized crystal structure of TaHgSbTe2. The functional is PBE.

Lattice parameters (Å, degrees): 5.429 5.429 5.402 90.00 90.00 90.00
Sites, in units of the cell vectors:
1 Ta 0.000 0.000 0.000
2 Hg 0.500 0.500 0.500
3 Sb 0.500 0.500 0.000
4 Te 0.000 0.500 0.500
5 Te 0.500 0.000 0.500

Summary:
V (Å³/atom): 31.84



Stability check: which of them is least stable? B.



A:
This record from Alexandria describes an optimized crystal structure of TbHgSb2. The functional is PBE.

Lattice parameters (Å, degrees): 4.935 4.935 4.251 90.00 90.00 90.00
Sites, in units of the cell vectors:
1 Tb 0.000 0.000 0.000
2 Hg 0.500 0.500 0.000
3 Sb 0.000 0.500 0.500
4 Sb 0.500 0.000 0.500

Summary:
V (Å³/atom): 25.88



B:
This record from Alexandria describes an optimized crystal structure of TbHgSb2. The functional is PBE.

Lattice parameters (Å, degrees): 4.456 4.456 26.600 90.00 90.00 120.00
Sites, in units of the cell vectors:
1 Tb 0.000 0.000 0.000
2 Tb 0.333 0.667 0.667
3 Tb 0.667 0.333 0.333
4 Hg 0.000 0.000 0.500
5 Hg 0.333 0.667 0.167
6 Hg 0.667 0.333 0.833
7 Sb 0.000 0.000 0.398
8 Sb 0.000 0.000 0.602
9 Sb 0.333 0.667 0.065
10 Sb 0.333 0.667 0.268
11 Sb 0.667 0.333 0.732
12 Sb 0.667 0.333 0.935

Summary:
V (Å³/atom): 38.12



Stability check: which of them is least stable? B.



A:
This record from Alexandria describes an optimized crystal structure of Tb2HgSb. The functional is PBE.

Lattice parameters (Å, degrees): 4.253 4.253 22.784 90.00 90.00 120.00
Sites, in units of the cell vectors:
1 Tb 0.000 0.000 0.246
2 Tb 0.000 0.000 0.754
3 Tb 0.333 0.667 0.420
4 Tb 0.333 0.667 0.913
5 Tb 0.667 0.333 0.087
6 Tb 0.667 0.333 0.580
7 Hg 0.000 0.000 0.000
8 Hg 0.333 0.667 0.667
9 Hg 0.667 0.333 0.333
10 Sb 0.000 0.000 0.500
11 Sb 0.333 0.667 0.167
12 Sb 0.667 0.333 0.833

Summary:
V (Å³/atom): 29.74



B:
This record from Alexandria describes an optimized crystal structure of Tb2HgSb. The functional is PBE.

Lattice parameters (Å, degrees): 4.172 24.128 4.581 90.00 90.00 90.00
Sites, in units of the cell vectors:
1 Tb 0.000 0.065 0.250
2 Tb 0.000 0.318 0.250
3 Tb 0.000 0.682 0.750
4 Tb 0.000 0.935 0.750
5 Tb 0.500 0.182 0.750
6 Tb 0.500 0.435 0.750
7 Tb 0.500 0.565 0.250
8 Tb 0.500 0.818 0.250
9 Hg 0.000 0.456 0.250
10 Hg 0.000 0.544 0.750
11 Hg 0.500 0.044 0.750
12 Hg 0.500 0.956 0.250
13 Sb 0.000 0.190 0.250
14 Sb 0.000 0.810 0.750
15 Sb 0.500 0.310 0.750
16 Sb 0.500 0.690 0.250

Summary:
V (Å³/atom): 28.82



Stability check: which of them is least stable? A.



A:
This record from Alexandria describes an optimized crystal structure of TcHgSb. The functional is PBE.

Lattice parameters (Å, degrees): 3.705 3.705 10.844 90.00 90.00 90.00
Sites, in units of the cell vectors:
1 Tc 0.250 0.250 0.054
2 Tc 0.750 0.750 0.946
3 Hg 0.250 0.750 0.500
4 Hg 0.750 0.250 0.500
5 Sb 0.250 0.250 0.811
6 Sb 0.750 0.750 0.189

Summary:
V (Å³/atom): 24.82



B:
This record from Alexandria describes an optimized crystal structure of TcHgSb. The functional is PBE.

Lattice parameters (Å, degrees): 3.238 3.238 7.094 90.00 90.00 120.00
Sites, in units of the cell vectors:
1 Tc 0.000 0.000 0.000
2 Hg 0.667 0.333 0.319
3 Sb 0.333 0.667 0.733

Summary:
V (Å³/atom): 21.47



Stability check: which of them is least stable? A.